i:
VASP calculation (PBE) on an optimized crystal structure of Na2TeO.

The structure in CIF format:
```
data_Na2TeO
_chemical_formula_sum 'Na4 Te2 O2'
_symmetry_space_group_name_H-M 'P 1'
_symmetry_Int_Tables_number 1
_cell_length_a 9.245
_cell_length_b 9.245
_cell_length_c 6.936
_cell_angle_alpha 48.21
_cell_angle_beta 48.21
_cell_angle_gamma 90.00
loop_
_symmetry_equiv_pos_as_xyz
'x,y,z'
loop_
_atom_site_label
_atom_site_type_symbol
_atom_site_fract_x
_atom_site_fract_y
_atom_site_fract_z
Na1 Na 0.319 0.625 0.250
Na2 Na 0.875 0.681 0.750
Na3 Na 0.431 0.125 0.250
Na4 Na 0.375 0.569 0.750
O1 O 0.500 0.500 0.000
O2 O 0.250 0.750 0.500
Te1 Te 0.750 0.250 0.500
Te2 Te 0.000 0.000 0.000
```

Values from the calculation:
Its total magnetic moment is 0.000 μB per cell. The calculation puts the volume at 24.778 Å³/atom. The calculation puts the density of states at the Fermi level at 0.00 states/eV/f.u.


ii:
VASP calculation (PBE) on an optimized crystal structure of Na2TeO.

The structure in CIF format:
```
data_Na2TeO
_chemical_formula_sum 'Na2 Te1 O1'
_symmetry_space_group_name_H-M 'P 1'
_symmetry_Int_Tables_number 1
_cell_length_a 5.007
_cell_length_b 5.007
_cell_length_c 5.007
_cell_angle_alpha 60.00
_cell_angle_beta 60.00
_cell_angle_gamma 60.00
loop_
_symmetry_equiv_pos_as_xyz
'x,y,z'
loop_
_atom_site_label
_atom_site_type_symbol
_atom_site_fract_x
_atom_site_fract_y
_atom_site_fract_z
O1 O 0.000 0.000 0.000
Te1 Te 0.500 0.500 0.500
Na1 Na 0.750 0.750 0.750
Na2 Na 0.250 0.250 0.250
```

Values from the calculation:
Its total magnetic moment is 2.000 μB per cell. The calculation puts the volume at 22.194 Å³/atom. The calculation puts the density of states at the Fermi level at 1.70 states/eV/f.u.


Least stable: ii


i:
VASP calculation (PBE) on an optimized crystal structure of NaTe2O6.

The structure in CIF format:
```
data_NaTe2O6
_chemical_formula_sum 'Na1 Te2 O6'
_symmetry_space_group_name_H-M 'P 1'
_symmetry_Int_Tables_number 1
_cell_length_a 5.268
_cell_length_b 5.429
_cell_length_c 5.429
_cell_angle_alpha 120.00
_cell_angle_beta 90.00
_cell_angle_gamma 90.00
loop_
_symmetry_equiv_pos_as_xyz
'x,y,z'
loop_
_atom_site_label
_atom_site_type_symbol
_atom_site_fract_x
_atom_site_fract_y
_atom_site_fract_z
O1 O 0.291 0.379 0.379
O2 O 0.709 0.000 0.379
O3 O 0.709 0.379 0.000
O4 O 0.291 0.621 0.000
O5 O 0.709 0.621 0.621
O6 O 0.291 0.000 0.621
Na1 Na 0.000 0.000 0.000
Te1 Te 0.500 0.333 0.667
Te2 Te 0.500 0.667 0.333
```

Values from the calculation:
Its total magnetic moment is 0.000 μB per cell. The calculation puts the volume at 14.938 Å³/atom. The calculation puts the density of states at the Fermi level at 2.45 states/eV/f.u.


ii:
VASP calculation (PBE) on an optimized crystal structure of NaTe2O6.

The structure in CIF format:
```
data_NaTe2O6
_chemical_formula_sum 'Na1 Te2 O6'
_symmetry_space_group_name_H-M 'P 1'
_symmetry_Int_Tables_number 1
_cell_length_a 2.953
_cell_length_b 6.507
_cell_length_c 6.507
_cell_angle_alpha 120.00
_cell_angle_beta 90.00
_cell_angle_gamma 90.00
loop_
_symmetry_equiv_pos_as_xyz
'x,y,z'
loop_
_atom_site_label
_atom_site_type_symbol
_atom_site_fract_x
_atom_site_fract_y
_atom_site_fract_z
O1 O 0.748 0.423 0.288
O2 O 0.748 0.712 0.135
O3 O 0.252 0.288 0.865
O4 O 0.748 0.865 0.577
O5 O 0.252 0.135 0.423
O6 O 0.252 0.577 0.712
Te1 Te 0.752 0.333 0.667
Te2 Te 0.248 0.667 0.333
Na1 Na 0.500 0.000 0.000
```

Values from the calculation:
Its total magnetic moment is 0.000 μB per cell. The calculation puts the volume at 12.029 Å³/atom. The calculation puts the density of states at the Fermi level at 1.49 states/eV/f.u.


Least stable: ii


i:
VASP calculation (PBE) on an optimized crystal structure of Na6Te2O.

The structure in CIF format:
```
data_Na6Te2O
_chemical_formula_sum 'Na6 Te2 O1'
_symmetry_space_group_name_H-M 'P 1'
_symmetry_Int_Tables_number 1
_cell_length_a 5.244
_cell_length_b 6.888
_cell_length_c 6.888
_cell_angle_alpha 120.00
_cell_angle_beta 90.00
_cell_angle_gamma 90.00
loop_
_symmetry_equiv_pos_as_xyz
'x,y,z'
loop_
_atom_site_label
_atom_site_type_symbol
_atom_site_fract_x
_atom_site_fract_y
_atom_site_fract_z
Na1 Na 0.280 0.167 0.333
Na2 Na 0.280 0.167 0.833
Na3 Na 0.720 0.333 0.167
Na4 Na 0.720 0.833 0.667
Na5 Na 0.720 0.833 0.167
Na6 Na 0.280 0.667 0.833
Te1 Te 0.780 0.333 0.667
Te2 Te 0.220 0.667 0.333
O1 O 0.500 0.000 0.000
```

Values from the calculation:
Its total magnetic moment is 0.000 μB per cell. The calculation puts the volume at 23.943 Å³/atom.


ii:
VASP calculation (PBE) on an optimized crystal structure of Na6Te2O.

The structure in CIF format:
```
data_Na6Te2O
_chemical_formula_sum 'Na6 Te2 O1'
_symmetry_space_group_name_H-M 'P 1'
_symmetry_Int_Tables_number 1
_cell_length_a 4.223
_cell_length_b 7.874
_cell_length_c 7.663
_cell_angle_alpha 120.91
_cell_angle_beta 90.00
_cell_angle_gamma 90.00
loop_
_symmetry_equiv_pos_as_xyz
'x,y,z'
loop_
_atom_site_label
_atom_site_type_symbol
_atom_site_fract_x
_atom_site_fract_y
_atom_site_fract_z
Na1 Na 0.500 0.373 0.364
Na2 Na 0.500 0.570 0.000
Na3 Na 0.000 0.219 0.000
Na4 Na 0.500 0.008 0.636
Na5 Na 0.000 0.999 0.222
Na6 Na 0.000 0.778 0.778
Te1 Te 0.000 0.337 0.663
Te2 Te 0.000 0.675 0.337
O1 O 0.500 0.041 0.000
```

Values from the calculation:
Its total magnetic moment is 0.000 μB per cell. The calculation puts the volume at 24.289 Å³/atom. The calculation puts the density of states at the Fermi level at 0.08 states/eV/f.u.


Least stable: ii


i:
VASP calculation (PBE) on an optimized crystal structure of NaUTe2O8.

The structure in CIF format:
```
data_NaUTe2O8
_chemical_formula_sum 'Na2 U2 Te4 O16'
_symmetry_space_group_name_H-M 'P 1'
_symmetry_Int_Tables_number 1
_cell_length_a 6.089
_cell_length_b 7.777
_cell_length_c 8.197
_cell_angle_alpha 90.00
_cell_angle_beta 90.00
_cell_angle_gamma 90.00
loop_
_symmetry_equiv_pos_as_xyz
'x,y,z'
loop_
_atom_site_label
_atom_site_type_symbol
_atom_site_fract_x
_atom_site_fract_y
_atom_site_fract_z
U1 U 0.050 0.000 0.526
U2 U 0.950 0.500 0.026
O1 O 0.275 0.500 0.225
O2 O 0.784 0.500 0.214
O3 O 0.216 0.000 0.714
O4 O 0.117 0.231 0.084
O5 O 0.108 0.500 0.837
O6 O 0.297 0.802 0.418
O7 O 0.481 0.000 0.147
O8 O 0.519 0.500 0.647
O9 O 0.883 0.731 0.584
O10 O 0.117 0.769 0.084
O11 O 0.725 0.000 0.725
O12 O 0.892 0.000 0.337
O13 O 0.703 0.698 0.918
O14 O 0.883 0.269 0.584
O15 O 0.703 0.302 0.918
O16 O 0.297 0.198 0.418
Te1 Te 0.615 0.256 0.699
Te2 Te 0.615 0.744 0.699
Te3 Te 0.385 0.244 0.199
Te4 Te 0.385 0.756 0.199
Na1 Na 0.874 0.000 0.029
Na2 Na 0.126 0.500 0.529
```

Values from the calculation:
Its total magnetic moment is 2.056 μB per cell. The calculation puts the volume at 16.171 Å³/atom. The calculation puts the density of states at the Fermi level at 1.73 states/eV/f.u.


ii:
VASP calculation (PBE) on an optimized crystal structure of NaUTe2O8.

The structure in CIF format:
```
data_NaUTe2O8
_chemical_formula_sum 'Na1 U1 Te2 O8'
_symmetry_space_group_name_H-M 'P 1'
_symmetry_Int_Tables_number 1
_cell_length_a 5.923
_cell_length_b 7.013
_cell_length_c 7.298
_cell_angle_alpha 45.85
_cell_angle_beta 66.06
_cell_angle_gamma 65.02
loop_
_symmetry_equiv_pos_as_xyz
'x,y,z'
loop_
_atom_site_label
_atom_site_type_symbol
_atom_site_fract_x
_atom_site_fract_y
_atom_site_fract_z
Na1 Na 0.500 0.500 0.500
Te1 Te 0.711 0.789 0.789
Te2 Te 0.289 0.211 0.211
O1 O 0.379 0.028 0.748
O2 O 0.921 0.377 0.781
O3 O 0.079 0.623 0.219
O4 O 0.621 0.972 0.252
O5 O 0.671 0.516 0.143
O6 O 0.155 0.972 0.252
O7 O 0.329 0.484 0.857
O8 O 0.845 0.028 0.748
U1 U 0.000 0.000 0.000
```

Values from the calculation:
Its total magnetic moment is 0.000 μB per cell. The calculation puts the volume at 16.184 Å³/atom. The calculation puts the density of states at the Fermi level at 8.15 states/eV/f.u.


Least stable: ii


i:
VASP calculation (PBE) on an optimized crystal structure of Na4Ti5O12.

The structure in CIF format:
```
data_Na4Ti5O12
_chemical_formula_sum 'Na8 Ti10 O24'
_symmetry_space_group_name_H-M 'P 1'
_symmetry_Int_Tables_number 1
_cell_length_a 5.949
_cell_length_b 6.444
_cell_length_c 13.461
_cell_angle_alpha 95.88
_cell_angle_beta 96.32
_cell_angle_gamma 90.01
loop_
_symmetry_equiv_pos_as_xyz
'x,y,z'
loop_
_atom_site_label
_atom_site_type_symbol
_atom_site_fract_x
_atom_site_fract_y
_atom_site_fract_z
O1 O 0.103 0.287 0.408
O2 O 0.062 0.600 0.239
O3 O 0.727 0.222 0.909
O4 O 0.183 0.013 0.729
O5 O 0.601 0.287 0.410
O6 O 0.482 0.874 0.916
O7 O 0.817 0.987 0.271
O8 O 0.682 0.006 0.730
O9 O 0.891 0.114 0.563
O10 O 0.399 0.713 0.590
O11 O 0.773 0.773 0.093
O12 O 0.938 0.400 0.761
O13 O 0.609 0.884 0.436
O14 O 0.227 0.227 0.907
O15 O 0.024 0.126 0.085
O16 O 0.518 0.126 0.084
O17 O 0.558 0.600 0.239
O18 O 0.976 0.874 0.915
O19 O 0.391 0.116 0.564
O20 O 0.318 0.994 0.270
O21 O 0.109 0.886 0.437
O22 O 0.442 0.400 0.761
O23 O 0.897 0.713 0.592
O24 O 0.273 0.778 0.091
Na1 Na 0.701 0.671 0.801
Na2 Na 0.843 0.587 0.374
Na3 Na 0.654 0.397 0.613
Na4 Na 0.779 0.411 0.117
Na5 Na 0.346 0.603 0.387
Na6 Na 0.221 0.589 0.883
Na7 Na 0.157 0.413 0.626
Na8 Na 0.299 0.329 0.199
Ti1 Ti 0.748 0.977 0.991
Ti2 Ti 0.648 0.900 0.584
Ti3 Ti 0.049 0.838 0.189
Ti4 Ti 0.454 0.162 0.810
Ti5 Ti 0.147 0.903 0.589
Ti6 Ti 0.352 0.100 0.416
Ti7 Ti 0.951 0.162 0.811
Ti8 Ti 0.546 0.838 0.190
Ti9 Ti 0.252 0.023 0.009
Ti10 Ti 0.853 0.097 0.411
```

Values from the calculation:
Its total magnetic moment is 0.000 μB per cell. The calculation puts the volume at 12.146 Å³/atom. The calculation puts the density of states at the Fermi level at 0.00 states/eV/f.u.


ii:
VASP calculation (PBE) on an optimized crystal structure of Na4Ti5O12.

The structure in CIF format:
```
data_Na4Ti5O12
_chemical_formula_sum 'Na4 Ti5 O12'
_symmetry_space_group_name_H-M 'P 1'
_symmetry_Int_Tables_number 1
_cell_length_a 5.373
_cell_length_b 5.373
_cell_length_c 9.645
_cell_angle_alpha 90.00
_cell_angle_beta 90.00
_cell_angle_gamma 120.00
loop_
_symmetry_equiv_pos_as_xyz
'x,y,z'
loop_
_atom_site_label
_atom_site_type_symbol
_atom_site_fract_x
_atom_site_fract_y
_atom_site_fract_z
O1 O 0.231 0.899 0.879
O2 O 0.668 0.769 0.879
O3 O 0.584 0.568 0.378
O4 O 0.985 0.416 0.378
O5 O 0.568 0.985 0.622
O6 O 0.769 0.101 0.121
O7 O 0.015 0.584 0.622
O8 O 0.416 0.432 0.622
O9 O 0.432 0.015 0.378
O10 O 0.332 0.231 0.121
O11 O 0.101 0.332 0.879
O12 O 0.899 0.668 0.121
Ti1 Ti 0.333 0.667 0.783
Ti2 Ti 0.667 0.333 0.217
Ti3 Ti 0.667 0.333 0.528
Ti4 Ti 0.333 0.667 0.472
Ti5 Ti 0.000 0.000 0.000
Na1 Na 0.333 0.667 0.104
Na2 Na 0.000 0.000 0.688
Na3 Na 0.667 0.333 0.896
Na4 Na 0.000 0.000 0.312
```

Values from the calculation:
Its total magnetic moment is 0.000 μB per cell. The calculation puts the volume at 11.482 Å³/atom. The calculation puts the density of states at the Fermi level at 0.00 states/eV/f.u.


iii:
VASP calculation (PBE) on an optimized crystal structure of Na4Ti5O12.

The structure in CIF format:
```
data_Na4Ti5O12
_chemical_formula_sum 'Na8 Ti10 O24'
_symmetry_space_group_name_H-M 'P 1'
_symmetry_Int_Tables_number 1
_cell_length_a 6.236
_cell_length_b 6.236
_cell_length_c 14.044
_cell_angle_alpha 79.32
_cell_angle_beta 79.32
_cell_angle_gamma 91.43
loop_
_symmetry_equiv_pos_as_xyz
'x,y,z'
loop_
_atom_site_label
_atom_site_type_symbol
_atom_site_fract_x
_atom_site_fract_y
_atom_site_fract_z
O1 O 0.783 0.288 0.474
O2 O 0.763 0.696 0.529
O3 O 0.304 0.237 0.971
O4 O 0.584 0.040 0.853
O5 O 0.288 0.783 0.974
O6 O 0.574 0.571 0.818
O7 O 0.217 0.712 0.526
O8 O 0.237 0.304 0.471
O9 O 0.188 0.072 0.818
O10 O 0.850 0.436 0.177
O11 O 0.426 0.429 0.182
O12 O 0.812 0.928 0.182
O13 O 0.436 0.850 0.677
O14 O 0.571 0.574 0.318
O15 O 0.928 0.812 0.682
O16 O 0.072 0.188 0.318
O17 O 0.712 0.217 0.026
O18 O 0.564 0.150 0.323
O19 O 0.040 0.584 0.353
O20 O 0.696 0.763 0.029
O21 O 0.429 0.426 0.682
O22 O 0.150 0.564 0.823
O23 O 0.416 0.960 0.147
O24 O 0.960 0.416 0.647
Ti1 Ti 0.656 0.657 0.167
Ti2 Ti 0.657 0.656 0.667
Ti3 Ti 0.840 0.364 0.337
Ti4 Ti 0.500 0.000 0.000
Ti5 Ti 0.636 0.160 0.163
Ti6 Ti 0.343 0.344 0.333
Ti7 Ti 0.364 0.840 0.837
Ti8 Ti 0.344 0.343 0.833
Ti9 Ti 0.160 0.636 0.663
Ti10 Ti 0.000 0.500 0.500
Na1 Na 0.000 0.000 0.000
Na2 Na 0.194 0.456 0.079
Na3 Na 0.000 0.000 0.500
Na4 Na 0.898 0.102 0.750
Na5 Na 0.544 0.806 0.421
Na6 Na 0.806 0.544 0.921
Na7 Na 0.456 0.194 0.579
Na8 Na 0.102 0.898 0.250
```

Values from the calculation:
Its total magnetic moment is 0.000 μB per cell. The calculation puts the volume at 12.534 Å³/atom. The calculation puts the density of states at the Fermi level at 0.00 states/eV/f.u.


Least stable: iii


i:
VASP calculation (PBE) on an optimized crystal structure of Na4Ti7O16.

The structure in CIF format:
```
data_Na4Ti7O16
_chemical_formula_sum 'Na4 Ti7 O16'
_symmetry_space_group_name_H-M 'P 1'
_symmetry_Int_Tables_number 1
_cell_length_a 6.032
_cell_length_b 5.527
_cell_length_c 9.564
_cell_angle_alpha 88.69
_cell_angle_beta 90.00
_cell_angle_gamma 90.00
loop_
_symmetry_equiv_pos_as_xyz
'x,y,z'
loop_
_atom_site_label
_atom_site_type_symbol
_atom_site_fract_x
_atom_site_fract_y
_atom_site_fract_z
Na1 Na 0.744 0.044 0.549
Na2 Na 0.256 0.044 0.549
Na3 Na 0.500 0.536 0.654
Na4 Na 0.500 0.568 0.959
O1 O 0.252 0.827 0.037
O2 O 0.500 0.894 0.771
O3 O 0.000 0.651 0.260
O4 O 0.500 0.675 0.269
O5 O 0.000 0.299 0.450
O6 O 0.500 0.308 0.441
O7 O 0.777 0.661 0.521
O8 O 0.000 0.174 0.971
O9 O 0.751 0.148 0.230
O10 O 0.000 0.836 0.762
O11 O 0.223 0.661 0.521
O12 O 0.748 0.827 0.037
O13 O 0.249 0.148 0.230
O14 O 0.500 0.187 0.973
O15 O 0.782 0.318 0.739
O16 O 0.218 0.318 0.739
Ti1 Ti 0.752 0.475 0.360
Ti2 Ti 0.000 0.947 0.135
Ti3 Ti 0.000 0.551 0.653
Ti4 Ti 0.254 0.057 0.864
Ti5 Ti 0.500 0.986 0.162
Ti6 Ti 0.248 0.475 0.360
Ti7 Ti 0.746 0.057 0.864
```

Values from the calculation:
Its total magnetic moment is 0.000 μB per cell. The calculation puts the volume at 11.807 Å³/atom. The calculation puts the density of states at the Fermi level at 0.00 states/eV/f.u.


ii:
VASP calculation (PBE) on an optimized crystal structure of Na4Ti7O16.

The structure in CIF format:
```
data_Na4Ti7O16
_chemical_formula_sum 'Na4 Ti7 O16'
_symmetry_space_group_name_H-M 'P 1'
_symmetry_Int_Tables_number 1
_cell_length_a 6.074
_cell_length_b 6.159
_cell_length_c 9.097
_cell_angle_alpha 85.82
_cell_angle_beta 90.00
_cell_angle_gamma 90.00
loop_
_symmetry_equiv_pos_as_xyz
'x,y,z'
loop_
_atom_site_label
_atom_site_type_symbol
_atom_site_fract_x
_atom_site_fract_y
_atom_site_fract_z
Ti1 Ti 0.755 0.270 0.247
Ti2 Ti 0.245 0.730 0.753
Ti3 Ti 0.500 0.000 0.500
Ti4 Ti 0.755 0.730 0.753
Ti5 Ti 0.000 0.500 0.000
Ti6 Ti 0.500 0.500 0.500
Ti7 Ti 0.245 0.270 0.247
O1 O 0.000 0.500 0.778
O2 O 0.000 0.500 0.222
O3 O 0.500 0.488 0.281
O4 O 0.766 0.717 0.953
O5 O 0.766 0.283 0.047
O6 O 0.500 0.944 0.722
O7 O 0.000 0.091 0.285
O8 O 0.707 0.748 0.511
O9 O 0.707 0.252 0.489
O10 O 0.293 0.252 0.489
O11 O 0.234 0.717 0.953
O12 O 0.293 0.748 0.511
O13 O 0.500 0.512 0.719
O14 O 0.234 0.283 0.047
O15 O 0.000 0.909 0.715
O16 O 0.500 0.056 0.278
Na1 Na 0.000 0.241 0.627
Na2 Na 0.500 0.782 0.118
Na3 Na 0.500 0.218 0.882
Na4 Na 0.000 0.759 0.373
```

Values from the calculation:
Its total magnetic moment is 0.000 μB per cell. The calculation puts the volume at 12.570 Å³/atom. The calculation puts the density of states at the Fermi level at 0.00 states/eV/f.u.


Least stable: i